(1)
# LaHoS2 | Alexandria via LeMat-Bulk | PBE | optimized geometry
data_LaHoS2
_chemical_formula_sum 'La1 Ho1 S2'
_symmetry_space_group_name_H-M 'P 1'
_symmetry_Int_Tables_number 1
_symmetry_space_group_name_Hall 'P 1'
_cell_length_a 3.983
_cell_length_b 3.983
_cell_length_c 7.057
_cell_angle_alpha 106.46
_cell_angle_beta 106.46
_cell_angle_gamma 60.17
loop_
_atom_site_label
_atom_site_type_symbol
_atom_site_fract_x
_atom_site_fract_y
_atom_site_fract_z
La1 La 0.000 0.000 0.000
Ho1 Ho 0.500 0.500 0.500
S1 S 0.243 0.243 0.727
S2 S 0.757 0.757 0.273
# formation energy from raw total energies	-2.080	eV per atom
# space-group type	C2/m
# excess energy over the best structure of this formula in the dataset	0	meV/atom

---

(2)
# La4HoS5 | Alexandria via LeMat-Bulk | PBE | optimized geometry
data_La4HoS5
_chemical_formula_sum 'La4 Ho1 S5'
_symmetry_space_group_name_H-M 'P 1'
_symmetry_Int_Tables_number 1
_symmetry_space_group_name_Hall 'P 1'
_cell_length_a 7.105
_cell_length_b 7.105
_cell_length_c 7.105
_cell_angle_alpha 99.65
_cell_angle_beta 99.65
_cell_angle_gamma 131.67
loop_
_atom_site_label
_atom_site_type_symbol
_atom_site_fract_x
_atom_site_fract_y
_atom_site_fract_z
La1 La 0.097 0.302 0.399
La2 La 0.302 0.903 0.205
La3 La 0.698 0.097 0.795
La4 La 0.903 0.698 0.601
Ho1 Ho 0.500 0.500 0.000
S1 S 0.000 0.000 0.000
S2 S 0.212 0.598 0.810
S3 S 0.402 0.212 0.614
S4 S 0.598 0.788 0.386
S5 S 0.788 0.402 0.190
# formation energy from raw total energies	-2.117	eV per atom
# space-group type	I4/m

---

(3)
# La5Ho3S8 | Alexandria via LeMat-Bulk | PBE | optimized geometry
data_La5Ho3S8
_chemical_formula_sum 'La5 Ho3 S8'
_symmetry_space_group_name_H-M 'P 1'
_symmetry_Int_Tables_number 1
_symmetry_space_group_name_Hall 'P 1'
_cell_length_a 8.141
_cell_length_b 8.141
_cell_length_c 8.141
_cell_angle_alpha 59.54
_cell_angle_beta 59.54
_cell_angle_gamma 59.54
loop_
_atom_site_label
_atom_site_type_symbol
_atom_site_fract_x
_atom_site_fract_y
_atom_site_fract_z
La1 La 0.000 0.000 0.000
La2 La 0.000 0.500 0.500
La3 La 0.500 0.000 0.500
La4 La 0.500 0.500 0.000
La5 La 0.500 0.500 0.500
Ho1 Ho 0.000 0.000 0.500
Ho2 Ho 0.000 0.500 0.000
Ho3 Ho 0.500 0.000 0.000
S1 S 0.234 0.750 0.750
S2 S 0.242 0.242 0.242
S3 S 0.250 0.250 0.766
S4 S 0.250 0.766 0.250
S5 S 0.750 0.234 0.750
S6 S 0.750 0.750 0.234
S7 S 0.758 0.758 0.758
S8 S 0.766 0.250 0.250
# formation energy from raw total energies	-2.089	eV per atom
# space-group type	R-3m

---

(4)
# LaHo3S4 | Alexandria via LeMat-Bulk | PBE | optimized geometry
data_LaHo3S4
_chemical_formula_sum 'La1 Ho3 S4'
_symmetry_space_group_name_H-M 'P 1'
_symmetry_Int_Tables_number 1
_symmetry_space_group_name_Hall 'P 1'
_cell_length_a 6.877
_cell_length_b 6.877
_cell_length_c 3.911
_cell_angle_alpha 90.00
_cell_angle_beta 90.00
_cell_angle_gamma 108.97
loop_
_atom_site_label
_atom_site_type_symbol
_atom_site_fract_x
_atom_site_fract_y
_atom_site_fract_z
La1 La 0.000 0.000 0.000
Ho1 Ho 0.000 0.500 0.500
Ho2 Ho 0.500 0.000 0.500
Ho3 Ho 0.500 0.500 0.000
S1 S 0.257 0.743 0.000
S2 S 0.265 0.265 0.500
S3 S 0.735 0.735 0.500
S4 S 0.743 0.257 0.000
# formation energy from raw total energies	-2.009	eV per atom
# space-group type	Cmmm

---

(5)
# LaHoSbS | Alexandria via LeMat-Bulk | PBE | optimized geometry
data_LaHoSbS
_chemical_formula_sum 'La1 Ho1 Sb1 S1'
_symmetry_space_group_name_H-M 'P 1'
_symmetry_Int_Tables_number 1
_symmetry_space_group_name_Hall 'P 1'
_cell_length_a 7.898
_cell_length_b 7.898
_cell_length_c 7.898
_cell_angle_alpha 30.43
_cell_angle_beta 30.43
_cell_angle_gamma 30.43
loop_
_atom_site_label
_atom_site_type_symbol
_atom_site_fract_x
_atom_site_fract_y
_atom_site_fract_z
La1 La 0.000 0.000 0.000
Ho1 Ho 0.161 0.161 0.161
Sb1 Sb 0.575 0.575 0.575
S1 S 0.755 0.755 0.755
# formation energy from raw total energies	-1.458	eV per atom
# space-group type	R3m

---

(6)
# La4Ho3ScS8 | Alexandria via LeMat-Bulk | PBE | optimized geometry
data_La4Ho3ScS8
_chemical_formula_sum 'La4 Ho3 Sc1 S8'
_symmetry_space_group_name_H-M 'P 1'
_symmetry_Int_Tables_number 1
_symmetry_space_group_name_Hall 'P 1'
_cell_length_a 8.086
_cell_length_b 8.086
_cell_length_c 8.086
_cell_angle_alpha 58.55
_cell_angle_beta 58.55
_cell_angle_gamma 58.55
loop_
_atom_site_label
_atom_site_type_symbol
_atom_site_fract_x
_atom_site_fract_y
_atom_site_fract_z
La1 La 0.000 0.000 0.000
La2 La 0.000 0.500 0.500
La3 La 0.500 0.000 0.500
La4 La 0.500 0.500 0.000
Ho1 Ho 0.000 0.000 0.500
Ho2 Ho 0.000 0.500 0.000
Ho3 Ho 0.500 0.000 0.000
Sc1 Sc 0.500 0.500 0.500
S1 S 0.242 0.242 0.242
S2 S 0.248 0.737 0.737
S3 S 0.263 0.263 0.752
S4 S 0.263 0.752 0.263
S5 S 0.737 0.248 0.737
S6 S 0.737 0.737 0.248
S7 S 0.752 0.263 0.263
S8 S 0.758 0.758 0.758
# formation energy from raw total energies	-2.051	eV per atom
# space-group type	R-3m

---

(7)
# LaHoSc2S4 | Alexandria via LeMat-Bulk | PBE | optimized geometry
data_LaHoSc2S4
_chemical_formula_sum 'La1 Ho1 Sc2 S4'
_symmetry_space_group_name_H-M 'P 1'
_symmetry_Int_Tables_number 1
_symmetry_space_group_name_Hall 'P 1'
_cell_length_a 6.735
_cell_length_b 6.735
_cell_length_c 6.735
_cell_angle_alpha 131.72
_cell_angle_beta 131.72
_cell_angle_gamma 70.66
loop_
_atom_site_label
_atom_site_type_symbol
_atom_site_fract_x
_atom_site_fract_y
_atom_site_fract_z
La1 La 0.000 0.000 0.000
Ho1 Ho 0.500 0.500 0.000
Sc1 Sc 0.250 0.750 0.500
Sc2 Sc 0.750 0.250 0.500
S1 S 0.000 0.500 0.500
S2 S 0.257 0.257 0.000
S3 S 0.500 0.000 0.500
S4 S 0.743 0.743 0.000
# formation energy from raw total energies	-1.866	eV per atom
# space-group type	I4/mmm

---

(8)
# LaHo2ScS4 | Alexandria via LeMat-Bulk | PBE | optimized geometry
data_LaHo2ScS4
_chemical_formula_sum 'La1 Ho2 Sc1 S4'
_symmetry_space_group_name_H-M 'P 1'
_symmetry_Int_Tables_number 1
_symmetry_space_group_name_Hall 'P 1'
_cell_length_a 6.787
_cell_length_b 3.879
_cell_length_c 6.834
_cell_angle_alpha 90.00
_cell_angle_beta 108.97
_cell_angle_gamma 90.00
loop_
_atom_site_label
_atom_site_type_symbol
_atom_site_fract_x
_atom_site_fract_y
_atom_site_fract_z
La1 La 0.000 0.000 0.000
Ho1 Ho 0.500 0.000 0.500
Ho2 Ho 0.500 0.500 0.000
Sc1 Sc 0.000 0.500 0.500
S1 S 0.248 0.000 0.735
S2 S 0.260 0.500 0.268
S3 S 0.740 0.500 0.732
S4 S 0.752 0.000 0.265
# formation energy from raw total energies	-1.952	eV per atom
# space-group type	P2/m

---

(9)
# LaHoSeS2 | Alexandria via LeMat-Bulk | PBE | optimized geometry
data_LaHoSeS2
_chemical_formula_sum 'La2 Ho2 Se2 S4'
_symmetry_space_group_name_H-M 'P 1'
_symmetry_Int_Tables_number 1
_symmetry_space_group_name_Hall 'P 1'
_cell_length_a 7.601
_cell_length_b 7.601
_cell_length_c 6.297
_cell_angle_alpha 90.00
_cell_angle_beta 90.00
_cell_angle_gamma 131.00
loop_
_atom_site_label
_atom_site_type_symbol
_atom_site_fract_x
_atom_site_fract_y
_atom_site_fract_z
La1 La 0.123 0.877 0.750
La2 La 0.877 0.123 0.250
Ho1 Ho 0.403 0.597 0.750
Ho2 Ho 0.597 0.403 0.250
Se1 Se 0.250 0.750 0.250
Se2 Se 0.750 0.250 0.750
S1 S 0.248 0.248 0.000
S2 S 0.248 0.248 0.500
S3 S 0.752 0.752 0.000
S4 S 0.752 0.752 0.500
# formation energy from raw total energies	-1.679	eV per atom
# space-group type	Cmcm

---

(10)
# LaHoSeS | Alexandria via LeMat-Bulk | PBE | optimized geometry
data_LaHoSeS
_chemical_formula_sum 'La1 Ho1 Se1 S1'
_symmetry_space_group_name_H-M 'P 1'
_symmetry_Int_Tables_number 1
_symmetry_space_group_name_Hall 'P 1'
_cell_length_a 7.216
_cell_length_b 7.216
_cell_length_c 7.216
_cell_angle_alpha 32.74
_cell_angle_beta 32.74
_cell_angle_gamma 32.74
loop_
_atom_site_label
_atom_site_type_symbol
_atom_site_fract_x
_atom_site_fract_y
_atom_site_fract_z
La1 La 0.000 0.000 0.000
Ho1 Ho 0.514 0.514 0.514
Se1 Se 0.764 0.764 0.764
S1 S 0.249 0.249 0.249
# formation energy from raw total energies	-1.981	eV per atom
# space-group type	R3m

---

(11)
# La3SmHo2S6 | Alexandria via LeMat-Bulk | PBE | optimized geometry
data_La3SmHo2S6
_chemical_formula_sum 'La3 Sm1 Ho2 S6'
_symmetry_space_group_name_H-M 'P 1'
_symmetry_Int_Tables_number 1
_symmetry_space_group_name_Hall 'P 1'
_cell_length_a 6.966
_cell_length_b 6.966
_cell_length_c 7.058
_cell_angle_alpha 99.48
_cell_angle_beta 99.48
_cell_angle_gamma 120.12
loop_
_atom_site_label
_atom_site_type_symbol
_atom_site_fract_x
_atom_site_fract_y
_atom_site_fract_z
La1 La 0.000 0.000 0.000
La2 La 0.336 0.664 0.000
La3 La 0.664 0.336 0.000
Sm1 Sm 0.500 0.500 0.500
Ho1 Ho 0.167 0.833 0.500
Ho2 Ho 0.833 0.167 0.500
S1 S 0.082 0.423 0.268
S2 S 0.236 0.236 0.730
S3 S 0.423 0.082 0.268
S4 S 0.577 0.918 0.732
S5 S 0.764 0.764 0.270
S6 S 0.918 0.577 0.732
# formation energy from raw total energies	-2.087	eV per atom
# space-group type	C2/m

---

(12)
# La2SmHoS4 | Alexandria via LeMat-Bulk | PBE | optimized geometry
data_La2SmHoS4
_chemical_formula_sum 'La2 Sm1 Ho1 S4'
_symmetry_space_group_name_H-M 'P 1'
_symmetry_Int_Tables_number 1
_symmetry_space_group_name_Hall 'P 1'
_cell_length_a 6.999
_cell_length_b 4.009
_cell_length_c 7.087
_cell_angle_alpha 90.00
_cell_angle_beta 109.01
_cell_angle_gamma 90.00
loop_
_atom_site_label
_atom_site_type_symbol
_atom_site_fract_x
_atom_site_fract_y
_atom_site_fract_z
La1 La 0.000 0.000 0.000
La2 La 0.500 0.500 0.000
Sm1 Sm 0.000 0.500 0.500
Ho1 Ho 0.500 0.000 0.500
S1 S 0.251 0.000 0.735
S2 S 0.262 0.500 0.269
S3 S 0.738 0.500 0.731
S4 S 0.749 0.000 0.265
# formation energy from raw total energies	-2.085	eV per atom
# space-group type	P2/m

---

The lowest formation energy from raw total energies belongs to which entry? La4HoS5

---

Which formula does entry 12 have? La2SmHoS4